Record 1
VASP calculation (PBE) on crystalline FeSb3Cl at its relaxed geometry.

Cell and atoms, written as CIF:
```
data_FeSb3Cl
_symmetry_space_group_name_H-M 'P m -3 m'
_symmetry_Int_Tables_number 221
_symmetry_space_group_name_Hall '-P 4 2 3'
_cell_length_a 5.1799
_cell_length_b 5.1799
_cell_length_c 5.1799
_cell_angle_alpha 90.00
_cell_angle_beta 90.00
_cell_angle_gamma 90.00
loop_
_atom_site_label
_atom_site_fract_x
_atom_site_fract_y
_atom_site_fract_z
Fe1 0.0000 0.0000 0.0000
Sb1 0.0000 0.5000 0.5000
Cl1 0.5000 0.5000 0.5000
```

Output
ΔE_f (raw) = 1.489 eV per atom
N(E_F) = 1.900 states/eV per atom
energy above the lowest structure with this stoichiometry = 1236 meV per atom

=====

Record 2
VASP calculation (PBE) on crystalline BaDyAgBr6 at its relaxed geometry.

Cell and atoms, written as CIF:
```
data_BaDyAgBr6
_symmetry_space_group_name_H-M 'P -3 1 c'
_symmetry_Int_Tables_number 163
_symmetry_space_group_name_Hall '-P 3 2c'
_cell_length_a 7.3710
_cell_length_b 7.3710
_cell_length_c 14.1153
_cell_angle_alpha 90.00
_cell_angle_beta 90.00
_cell_angle_gamma 120.00
loop_
_atom_site_label
_atom_site_fract_x
_atom_site_fract_y
_atom_site_fract_z
Ba1 0.0000 0.0000 0.0000
Dy1 0.3333 0.6667 0.2500
Ag1 0.3333 0.6667 0.7500
Br1 0.0107 0.3673 0.1344
```

Output
ΔE_f (raw) = -1.614 eV per atom
N(E_F) = 0.000 states/eV per atom

=====

Record 3
VASP calculation (PBE) on crystalline YFeReI2 at its relaxed geometry.

Cell and atoms, written as CIF:
```
data_YFeReI2
_symmetry_space_group_name_H-M 'P 4/m m m'
_symmetry_Int_Tables_number 123
_symmetry_space_group_name_Hall '-P 4 2'
_cell_length_a 5.0337
_cell_length_b 5.0337
_cell_length_c 5.1408
_cell_angle_alpha 90.00
_cell_angle_beta 90.00
_cell_angle_gamma 90.00
loop_
_atom_site_label
_atom_site_fract_x
_atom_site_fract_y
_atom_site_fract_z
Y1 0.0000 0.0000 0.0000
Fe1 0.0000 0.0000 0.5000
Re1 0.5000 0.5000 0.0000
I1 0.0000 0.5000 0.5000
```

Output
ΔE_f (raw) = 1.254 eV per atom
N(E_F) = 1.280 states/eV per atom

=====

Record 4
VASP calculation (PBE) on crystalline RbBiIr at its relaxed geometry.

Cell and atoms, written as CIF:
```
data_RbBiIr
_symmetry_space_group_name_H-M 'C 1 2/m 1'
_symmetry_Int_Tables_number 12
_cell_length_a 13.6218
_cell_length_b 4.4228
_cell_length_c 6.7104
_cell_angle_alpha 90.00
_cell_angle_beta 98.17
_cell_angle_gamma 90.00
loop_
_symmetry_equiv_pos_as_xyz
'x,y,z'
'-x,-y,-z'
'-x,y,-z'
'x,-y,z'
'x+1/2,y+1/2,z'
'-x+1/2,-y+1/2,-z'
'-x+1/2,y+1/2,-z'
'x+1/2,-y+1/2,z'
loop_
_atom_site_label
_atom_site_fract_x
_atom_site_fract_y
_atom_site_fract_z
Rb1 0.1283 0.0000 0.3676
Bi1 0.0912 0.5000 0.8587
Ir1 0.2152 0.0000 0.9318
```

Output
formation energy = 0.04 eV/atom
N(E_F) = 0.296 states/eV per atom
energy above the lowest structure with this stoichiometry = 34 meV per atom

=====

Record 5
VASP calculation (PBE) on crystalline ScBiPd3 at its relaxed geometry.

Cell and atoms, written as CIF:
```
data_ScBiPd3
_symmetry_space_group_name_H-M 'P m -3 m'
_symmetry_Int_Tables_number 221
_symmetry_space_group_name_Hall '-P 4 2 3'
_cell_length_a 4.8297
_cell_length_b 4.8297
_cell_length_c 4.8297
_cell_angle_alpha 90.00
_cell_angle_beta 90.00
_cell_angle_gamma 90.00
loop_
_atom_site_label
_atom_site_fract_x
_atom_site_fract_y
_atom_site_fract_z
Sc1 0.0000 0.0000 0.0000
Bi1 0.5000 0.5000 0.5000
Pd1 0.0000 0.0000 0.5000
```

Output
formation energy = 0.14 eV/atom
N(E_F) = 0.438 states/eV per atom
energy above the lowest structure with this stoichiometry = 729 meV per atom

=====

Record 6
VASP calculation (PBE) on crystalline Be2InRhO at its relaxed geometry.

Cell and atoms, written as CIF:
```
data_Be2InRhO
_symmetry_space_group_name_H-M 'P 4/m m m'
_symmetry_Int_Tables_number 123
_symmetry_space_group_name_Hall '-P 4 2'
_cell_length_a 3.6707
_cell_length_b 3.6707
_cell_length_c 4.7049
_cell_angle_alpha 90.00
_cell_angle_beta 90.00
_cell_angle_gamma 90.00
loop_
_atom_site_label
_atom_site_fract_x
_atom_site_fract_y
_atom_site_fract_z
Be1 0.0000 0.5000 0.0000
In1 0.0000 0.0000 0.5000
Rh1 0.5000 0.5000 0.5000
O1 0.5000 0.5000 0.0000
```

Output
ΔE_f (raw) = -0.278 eV per atom
N(E_F) = 0.457 states/eV per atom

=====

Record 7
VASP calculation (PBE) on crystalline CrRu2Cl at its relaxed geometry.

Cell and atoms, written as CIF:
```
data_CrRu2Cl
_symmetry_space_group_name_H-M 'P 1 m 1'
_symmetry_Int_Tables_number 6
_cell_length_a 2.8967
_cell_length_b 2.8739
_cell_length_c 7.5583
_cell_angle_alpha 90.00
_cell_angle_beta 90.07
_cell_angle_gamma 90.00
loop_
_symmetry_equiv_pos_as_xyz
'x,y,z'
'x,-y,z'
loop_
_atom_site_label
_atom_site_fract_x
_atom_site_fract_y
_atom_site_fract_z
Cr1 0.0000 0.0000 0.0000
Ru1 0.0016 0.0000 0.4513
Ru2 0.5010 0.5000 0.2380
Cl1 0.0027 0.5000 0.7358
```

Output
ΔE_f (raw) = 0.297 eV per atom
N(E_F) = 0.819 states/eV per atom
energy above the lowest structure with this stoichiometry = 0 meV per atom

=====

Record 8
VASP calculation (PBE) on crystalline Li2TlTeF at its relaxed geometry.

Cell and atoms, written as CIF:
```
data_Li2TlTeF
_symmetry_space_group_name_H-M 'P 4/m m m'
_symmetry_Int_Tables_number 123
_symmetry_space_group_name_Hall '-P 4 2'
_cell_length_a 4.2874
_cell_length_b 4.2874
_cell_length_c 6.1527
_cell_angle_alpha 90.00
_cell_angle_beta 90.00
_cell_angle_gamma 90.00
loop_
_atom_site_label
_atom_site_fract_x
_atom_site_fract_y
_atom_site_fract_z
Li1 0.0000 0.5000 0.0000
Tl1 0.0000 0.0000 0.5000
Te1 0.5000 0.5000 0.5000
F1 0.5000 0.5000 0.0000
```

Output
ΔE_f (raw) = -1.002 eV per atom
N(E_F) = 0.459 states/eV per atom

=====

Record 9
VASP calculation (PBE) on crystalline P2SBrO at its relaxed geometry.

Cell and atoms, written as CIF:
```
data_P2SBrO
_symmetry_space_group_name_H-M 'P 4/m m m'
_symmetry_Int_Tables_number 123
_symmetry_space_group_name_Hall '-P 4 2'
_cell_length_a 4.9587
_cell_length_b 4.9587
_cell_length_c 4.6797
_cell_angle_alpha 90.00
_cell_angle_beta 90.00
_cell_angle_gamma 90.00
loop_
_atom_site_label
_atom_site_fract_x
_atom_site_fract_y
_atom_site_fract_z
P1 0.0000 0.5000 0.0000
S1 0.0000 0.0000 0.5000
Br1 0.0000 0.0000 0.0000
O1 0.5000 0.5000 0.5000
```

Output
ΔE_f (raw) = 2.007 eV per atom
N(E_F) = 1.108 states/eV per atom
energy above the lowest structure with this stoichiometry = 1306 meV per atom

=====

Record 10
VASP calculation (PBE) on crystalline Ta4TcMo3 at its relaxed geometry.

Cell and atoms, written as CIF:
```
data_Ta4TcMo3
_symmetry_space_group_name_H-M 'P m m m'
_symmetry_Int_Tables_number 47
_cell_length_a 3.2185
_cell_length_b 4.5508
_cell_length_c 9.1134
_cell_angle_alpha 90.00
_cell_angle_beta 90.00
_cell_angle_gamma 90.00
loop_
_symmetry_equiv_pos_as_xyz
'x,y,z'
'-x,-y,-z'
'-x,-y,z'
'x,y,-z'
'x,-y,-z'
'-x,y,z'
'-x,y,-z'
'x,-y,z'
loop_
_atom_site_label
_atom_site_fract_x
_atom_site_fract_y
_atom_site_fract_z
Ta1 0.0000 0.0000 0.0000
Ta2 0.0000 0.0000 0.5000
Ta3 0.0000 0.5000 0.2473
Tc1 0.5000 0.5000 0.0000
Mo1 0.5000 0.0000 0.2487
Mo2 0.5000 0.5000 0.5000
```

Output
formation energy = -0.28 eV/atom
N(E_F) = 0.470 states/eV per atom

=====

Record 11
VASP calculation (PBE) on crystalline CaFeRe at its relaxed geometry.

Cell and atoms, written as CIF:
```
data_CaFeRe
_symmetry_space_group_name_H-M 'P 3 m 1'
_symmetry_Int_Tables_number 156
_cell_length_a 3.9013
_cell_length_b 3.9013
_cell_length_c 4.7657
_cell_angle_alpha 90.00
_cell_angle_beta 90.00
_cell_angle_gamma 120.00
loop_
_symmetry_equiv_pos_as_xyz
'x,y,z'
'-y,x-y,z'
'-x+y,-x,z'
'-y,-x,z'
'-x+y,y,z'
'x,x-y,z'
loop_
_atom_site_label
_atom_site_fract_x
_atom_site_fract_y
_atom_site_fract_z
Ca1 0.0000 0.0000 0.0000
Fe1 0.6667 0.3333 0.4983
Re1 0.3333 0.6667 0.5008
```

Output
formation energy = 0.52 eV/atom
N(E_F) = 0.924 states/eV per atom
energy above the lowest structure with this stoichiometry = 86 meV per atom

=====

Record 12
VASP calculation (PBE) on crystalline AcTbSb2Rh5 at its relaxed geometry.

Cell and atoms, written as CIF:
```
data_AcTbSb2Rh5
_symmetry_space_group_name_H-M 'P 4/m m m'
_symmetry_Int_Tables_number 123
_symmetry_space_group_name_Hall '-P 4 2'
_cell_length_a 4.5338
_cell_length_b 4.5338
_cell_length_c 9.0726
_cell_angle_alpha 90.00
_cell_angle_beta 90.00
_cell_angle_gamma 90.00
loop_
_atom_site_label
_atom_site_fract_x
_atom_site_fract_y
_atom_site_fract_z
Ac1 0.0000 0.0000 0.0000
Tb1 0.0000 0.0000 0.5000
Sb1 0.5000 0.5000 0.3439
Rh1 0.0000 0.5000 0.2266
Rh2 0.5000 0.5000 0.0000
```

Output
ΔE_f (raw) = -0.500 eV per atom
N(E_F) = 0.569 states/eV per atom